1.
Density functional theory data (PBE) for an optimized crystal structure of NpSc3Se6.

The formation energy from raw total energies is -1.54 eV/atom. Its total energy is -0.2510 hartree per atom. The calculation puts the theoretical density at 5.96 g/cm³.

a b c (Å): 3.9287 11.2023 11.3509
angles (deg): 109.47 90.00 90.00
Closest atoms and distances in Å follow each position.
Fractional positions:
1 Se 0.2500 0.2656 0.7290  3 Sc 2.76-2.86, 2 Np 3.04
2 Se 0.2500 0.8788 0.5355  2 Sc 2.90, 3 Np 2.92-3.00
3 Se 0.7500 0.1212 0.4645  2 Sc 2.90, 3 Np 2.92-3.00
4 Se 0.2500 0.6090 0.9400  4 Sc 2.71-2.75
5 Se 0.7500 0.7988 0.7497  3 Sc 2.65-2.71
6 Se 0.7500 0.4786 0.6160  4 Sc 2.67-2.96
7 Se 0.2500 0.2012 0.2503  3 Sc 2.65-2.71
8 Se 0.7500 0.3910 0.0600  4 Sc 2.71-2.75
9 Se 0.7500 0.9171 0.0925  3 Sc 2.71-2.74, 2 Np 3.02
10 Se 0.7500 0.7344 0.2710  3 Sc 2.76-2.86, 2 Np 3.04
11 Se 0.2500 0.5214 0.3840  4 Sc 2.67-2.96
12 Se 0.2500 0.0829 0.9075  3 Sc 2.71-2.74, 2 Np 3.02
13 Sc 0.2500 0.8439 0.9150  6 Se 2.65-2.74
14 Sc 0.7500 0.6790 0.4993  7 Se 2.67-2.96
15 Sc 0.2500 0.3210 0.5007  7 Se 2.67-2.96
16 Sc 0.7500 0.1561 0.0850  6 Se 2.65-2.74
17 Sc 0.7500 0.4400 0.8380  6 Se 2.70-2.76
18 Sc 0.2500 0.5600 0.1620  6 Se 2.70-2.76
19 Np 0.7500 0.0497 0.6970  8 Se 2.92-3.06
20 Np 0.2500 0.9503 0.3030  8 Se 2.92-3.06



2.
Density functional theory data (PBE) for an optimized crystal structure of Ce3HoHf2N6.

The formation energy from raw total energies is -1.67 eV/atom. Its total energy is -0.3438 hartree per atom. The calculation puts the theoretical density at 10.08 g/cm³.

a b c (Å): 5.8529 5.8529 6.0208
angles (deg): 99.32 99.32 120.00
Closest atoms and distances in Å follow each position.
Fractional positions:
1 Ce 0.1652 0.8348 0.5000  6 N 2.45-2.55
2 Ce 0.5000 0.5000 0.5000  6 N 2.45-2.55
3 Ce 0.8348 0.1652 0.5000  6 N 2.45-2.55
4 Ho 0.0000 0.0000 0.0000  6 N 2.40
5 N 0.7241 0.7241 0.2196  2 Hf 2.28, 1 Ho 2.40, 3 Ce 2.45-2.55
6 N 0.2759 0.2759 0.7804  2 Hf 2.28, 1 Ho 2.40, 3 Ce 2.45-2.55
7 N 0.0743 0.4231 0.2226  2 Hf 2.29, 1 Ho 2.40, 3 Ce 2.45-2.55
8 N 0.9257 0.5769 0.7774  2 Hf 2.29, 1 Ho 2.40, 3 Ce 2.45-2.55
9 N 0.4231 0.0743 0.2226  2 Hf 2.29, 1 Ho 2.40, 3 Ce 2.45-2.55
10 N 0.5769 0.9257 0.7774  2 Hf 2.29, 1 Ho 2.40, 3 Ce 2.45-2.55
11 Hf 0.3333 0.6667 0.0000  6 N 2.28-2.29
12 Hf 0.6667 0.3333 0.0000  6 N 2.28-2.29